Arrangement P

! ScTl2Ga2 | Alexandria | PBE | optimized geometry; values from VASP
&SYSTEM
  ibrav = 0, nat = 10, ntyp = 3
/
ATOMIC_SPECIES
Sc 44.96 Sc.upf
Tl 204.38 Tl.upf
Ga 69.72 Ga.upf
CELL_PARAMETERS angstrom
7.430 0.000 0.000
0.000 7.430 0.000
0.000 0.000 4.221
ATOMIC_POSITIONS crystal
Sc 0.000 0.000 0.000
Sc 0.500 0.500 0.000
Tl 0.182 0.682 0.500
Tl 0.682 0.818 0.500
Tl 0.818 0.318 0.500
Tl 0.318 0.182 0.500
Ga 0.376 0.876 0.000
Ga 0.876 0.624 0.000
Ga 0.624 0.124 0.000
Ga 0.124 0.376 0.000
! * symmetry: P4/mbm, No. 127
! * total moment: 0.0 μB per cell

Arrangement Q

! ScTl2Ga2 | Alexandria | PBE | optimized geometry; values from VASP
&SYSTEM
  ibrav = 0, nat = 10, ntyp = 3
/
ATOMIC_SPECIES
Sc 44.96 Sc.upf
Tl 204.38 Tl.upf
Ga 69.72 Ga.upf
CELL_PARAMETERS angstrom
8.053 0.000 0.000
0.000 8.053 0.000
0.000 0.000 3.688
ATOMIC_POSITIONS crystal
Sc 0.000 0.000 0.000
Sc 0.500 0.500 0.000
Tl 0.360 0.860 0.000
Tl 0.860 0.640 0.000
Tl 0.640 0.140 0.000
Tl 0.140 0.360 0.000
Ga 0.163 0.663 0.500
Ga 0.663 0.837 0.500
Ga 0.837 0.337 0.500
Ga 0.337 0.163 0.500
! * symmetry: P4/mbm, No. 127
! * total moment: 0.0 μB per cell

arrangement P comes first in stability; the runner-up is 125 meV per atom higher.

Arrangement P

! Sc8TlGa2 | Alexandria | PBE | optimized geometry; values from VASP
&SYSTEM
  ibrav = 0, nat = 11, ntyp = 3
/
ATOMIC_SPECIES
Sc 44.96 Sc.upf
Tl 204.38 Tl.upf
Ga 69.72 Ga.upf
CELL_PARAMETERS angstrom
4.401 0.000 -1.339
-1.142 6.610 -3.754
0.107 0.236 8.252
ATOMIC_POSITIONS crystal
Sc 0.661 0.875 0.322
Sc 0.339 0.553 0.678
Sc 0.151 0.151 0.301
Sc 0.000 0.307 0.000
Sc 0.849 0.849 0.699
Sc 0.661 0.447 0.322
Sc 0.339 0.125 0.678
Sc 0.000 0.693 0.000
Tl 0.500 0.000 0.000
Ga 0.193 0.693 0.385
Ga 0.807 0.307 0.615
! * symmetry: Immm, No. 71
! * total moment: 2.7 μB per cell

Arrangement Q

! Sc8TlGa2 | Alexandria | PBE | optimized geometry; values from VASP
&SYSTEM
  ibrav = 0, nat = 11, ntyp = 3
/
ATOMIC_SPECIES
Sc 44.96 Sc.upf
Tl 204.38 Tl.upf
Ga 69.72 Ga.upf
CELL_PARAMETERS angstrom
-3.558 1.951 3.071
-4.240 -5.065 -3.887
4.751 -2.998 5.214
ATOMIC_POSITIONS crystal
Sc 0.891 0.913 0.669
Sc 0.891 0.669 0.913
Sc 0.298 0.599 0.599
Sc 0.500 0.770 0.230
Sc 0.500 0.230 0.770
Sc 0.702 0.401 0.401
Sc 0.109 0.331 0.087
Sc 0.109 0.087 0.331
Tl 0.500 0.000 0.000
Ga 0.000 0.305 0.695
Ga 0.000 0.695 0.305
! * symmetry: C2/m, No. 12
! * total moment: 0.0 μB per cell

arrangement P comes first in stability; the runner-up is 40 meV per atom higher.

Arrangement P

! ScTlGa3 | Alexandria | PBE | optimized geometry; values from VASP
&SYSTEM
  ibrav = 0, nat = 5, ntyp = 3
/
ATOMIC_SPECIES
Sc 44.96 Sc.upf
Tl 204.38 Tl.upf
Ga 69.72 Ga.upf
CELL_PARAMETERS angstrom
5.311 0.000 0.000
0.000 5.311 0.000
0.000 0.000 5.311
ATOMIC_POSITIONS crystal
Sc 0.000 0.000 0.000
Tl 0.500 0.500 0.500
Ga 0.000 0.500 0.000
Ga 0.000 0.000 0.500
Ga 0.500 0.000 0.000
! * symmetry: Pm-3m, No. 221
! * total moment: 0.0 μB per cell

Arrangement Q

! ScTlGa3 | Alexandria | PBE | optimized geometry; values from VASP
&SYSTEM
  ibrav = 0, nat = 5, ntyp = 3
/
ATOMIC_SPECIES
Sc 44.96 Sc.upf
Tl 204.38 Tl.upf
Ga 69.72 Ga.upf
CELL_PARAMETERS angstrom
-3.304 -3.205 2.509
2.920 -4.118 -1.415
2.835 0.505 4.380
ATOMIC_POSITIONS crystal
Sc 0.500 0.500 0.500
Tl 0.000 0.000 0.000
Ga 0.000 0.500 0.000
Ga 0.000 0.000 0.500
Ga 0.500 0.000 0.000
! * symmetry: Pm-3m, No. 221
! * total moment: 0.0 μB per cell

arrangement P comes first in stability; the runner-up is 299 meV per atom higher.

Arrangement P

! Sc4TlGa | Alexandria | PBE | optimized geometry; values from VASP
&SYSTEM
  ibrav = 0, nat = 6, ntyp = 3
/
ATOMIC_SPECIES
Sc 44.96 Sc.upf
Tl 204.38 Tl.upf
Ga 69.72 Ga.upf
CELL_PARAMETERS angstrom
-0.135 3.347 -0.583
-1.708 1.294 7.825
5.071 0.386 1.045
ATOMIC_POSITIONS crystal
Sc 0.500 0.715 0.000
Sc 0.500 0.285 0.000
Sc 0.000 0.187 0.500
Sc 0.000 0.813 0.500
Tl 0.500 0.500 0.500
Ga 0.000 0.000 0.000
! * symmetry: Pmmm, No. 47
! * total moment: 0.5 μB per cell

Arrangement Q

! Sc4TlGa | Alexandria | PBE | optimized geometry; values from VASP
&SYSTEM
  ibrav = 0, nat = 12, ntyp = 3
/
ATOMIC_SPECIES
Sc 44.96 Sc.upf
Tl 204.38 Tl.upf
Ga 69.72 Ga.upf
CELL_PARAMETERS angstrom
5.954 -0.001 0.000
-0.001 6.114 0.510
-2.977 -2.020 7.682
ATOMIC_POSITIONS crystal
Sc 0.537 0.053 0.838
Sc 0.699 0.447 0.162
Sc 0.463 0.947 0.162
Sc 0.301 0.553 0.838
Sc 0.966 0.917 0.672
Sc 0.294 0.583 0.328
Sc 0.034 0.083 0.328
Sc 0.706 0.417 0.672
Tl 0.908 0.750 0.000
Tl 0.092 0.250 0.000
Ga 0.500 0.000 0.500
Ga 0.000 0.500 0.500
! * symmetry: C2/c, No. 15
! * total moment: 0.0 μB per cell

arrangement Q comes first in stability; the runner-up is 33 meV per atom higher.

Arrangement P

! Sc4Tl2Ga | Alexandria | PBE | optimized geometry; values from VASP
&SYSTEM
  ibrav = 0, nat = 7, ntyp = 3
/
ATOMIC_SPECIES
Sc 44.96 Sc.upf
Tl 204.38 Tl.upf
Ga 69.72 Ga.upf
CELL_PARAMETERS angstrom
-1.767 1.731 4.239
-4.688 -0.799 1.213
-0.029 -6.552 5.505
ATOMIC_POSITIONS crystal
Sc 0.877 0.877 0.369
Sc 0.123 0.123 0.631
Sc 0.625 0.625 0.124
Sc 0.375 0.375 0.876
Tl 0.756 0.756 0.732
Tl 0.244 0.244 0.268
Ga 0.000 0.000 0.000
! * symmetry: R-3m, No. 166
! * total moment: 0.0 μB per cell

Arrangement Q

! Sc4Tl2Ga | Alexandria | PBE | optimized geometry; values from VASP
&SYSTEM
  ibrav = 0, nat = 7, ntyp = 3
/
ATOMIC_SPECIES
Sc 44.96 Sc.upf
Tl 204.38 Tl.upf
Ga 69.72 Ga.upf
CELL_PARAMETERS angstrom
5.043 0.000 0.000
0.000 5.043 0.000
2.522 2.522 7.272
ATOMIC_POSITIONS crystal
Sc 0.181 0.181 0.639
Sc 0.819 0.819 0.361
Sc 0.000 0.500 0.000
Sc 0.500 0.000 0.000
Tl 0.378 0.378 0.245
Tl 0.622 0.622 0.755
Ga 0.000 0.000 0.000
! * symmetry: I4/mmm, No. 139
! * total moment: 0.0 μB per cell

arrangement P comes first in stability; the runner-up is 159 meV per atom higher.

Arrangement P

! Tm2ScGa | Alexandria | PBE | optimized geometry; values from VASP
&SYSTEM
  ibrav = 0, nat = 4, ntyp = 3
/
ATOMIC_SPECIES
Sc 44.96 Sc.upf
Tm 168.93 Tm.upf
Ga 69.72 Ga.upf
CELL_PARAMETERS angstrom
-2.731 -0.718 1.946
-1.443 -1.654 -2.635
3.689 -7.221 2.511
ATOMIC_POSITIONS crystal
Sc 0.500 0.500 0.500
Tm 0.000 0.000 0.780
Tm 0.000 0.000 0.220
Ga 0.500 0.500 0.000
! * symmetry: P4/mmm, No. 123
! * total moment: 0.0 μB per cell

Arrangement Q

! Tm2ScGa | Alexandria | PBE | optimized geometry; values from VASP
&SYSTEM
  ibrav = 0, nat = 4, ntyp = 3
/
ATOMIC_SPECIES
Sc 44.96 Sc.upf
Tm 168.93 Tm.upf
Ga 69.72 Ga.upf
CELL_PARAMETERS angstrom
-1.504 -0.311 4.223
4.160 -1.415 1.377
1.235 4.370 0.761
ATOMIC_POSITIONS crystal
Sc 0.500 0.500 0.500
Tm 0.000 0.000 0.500
Tm 0.000 0.500 0.000
Ga 0.500 0.000 0.000
! * symmetry: P4/mmm, No. 123
! * total moment: 0.0 μB per cell

Arrangement R

! Tm2ScGa | Alexandria | PBE | optimized geometry; values from VASP
&SYSTEM
  ibrav = 0, nat = 4, ntyp = 3
/
ATOMIC_SPECIES
Sc 44.96 Sc.upf
Tm 168.93 Tm.upf
Ga 69.72 Ga.upf
CELL_PARAMETERS angstrom
-1.721 1.701 -2.334
-0.195 -1.184 -3.140
-9.673 -5.346 0.818
ATOMIC_POSITIONS crystal
Sc 0.000 0.000 0.000
Tm 0.098 0.098 0.705
Tm 0.902 0.902 0.295
Ga 0.500 0.500 0.500
! * symmetry: R-3m, No. 166
! * total moment: 0.8 μB per cell

Arrangement S

! Tm2ScGa | Alexandria | PBE | optimized geometry; values from VASP
&SYSTEM
  ibrav = 0, nat = 4, ntyp = 3
/
ATOMIC_SPECIES
Tm 168.93 Tm.upf
Sc 44.96 Sc.upf
Ga 69.72 Ga.upf
CELL_PARAMETERS angstrom
3.483 0.000 0.000
1.742 3.017 0.000
1.742 1.006 9.853
ATOMIC_POSITIONS crystal
Tm 0.075 0.075 0.776
Tm 0.259 0.259 0.223
Sc 0.500 0.500 0.499
Ga 0.666 0.666 0.001
! * symmetry: R3m, No. 160
! * total moment: 0.7 μB per cell

arrangement P comes first in stability; the runner-up is 20 meV per atom higher.

Arrangement P

! TmScGa2 | Alexandria | PBE | optimized geometry; values from VASP
&SYSTEM
  ibrav = 0, nat = 4, ntyp = 3
/
ATOMIC_SPECIES
Sc 44.96 Sc.upf
Tm 168.93 Tm.upf
Ga 69.72 Ga.upf
CELL_PARAMETERS angstrom
-4.064 1.774 -2.012
-4.009 -2.755 -0.225
-3.842 1.058 2.799
ATOMIC_POSITIONS crystal
Sc 0.500 0.500 0.500
Tm 0.000 0.000 0.000
Ga 0.250 0.250 0.250
Ga 0.750 0.750 0.750
! * symmetry: Fm-3m, No. 225
! * total moment: 0.0 μB per cell

Arrangement Q

! TmScGa2 | Alexandria | PBE | optimized geometry; values from VASP
&SYSTEM
  ibrav = 0, nat = 4, ntyp = 3
/
ATOMIC_SPECIES
Sc 44.96 Sc.upf
Tm 168.93 Tm.upf
Ga 69.72 Ga.upf
CELL_PARAMETERS angstrom
3.469 0.000 0.000
1.735 3.005 0.000
1.735 1.002 8.553
ATOMIC_POSITIONS crystal
Sc 0.000 0.000 0.000
Tm 0.500 0.500 0.500
Ga 0.747 0.747 0.759
Ga 0.253 0.253 0.241
! * symmetry: R-3m, No. 166
! * total moment: 0.0 μB per cell

arrangement P comes first in stability; the runner-up is 156 meV per atom higher.

Arrangement P

! TmSc2Ga | Alexandria | PBE | optimized geometry; values from VASP
&SYSTEM
  ibrav = 0, nat = 4, ntyp = 3
/
ATOMIC_SPECIES
Sc 44.96 Sc.upf
Tm 168.93 Tm.upf
Ga 69.72 Ga.upf
CELL_PARAMETERS angstrom
-5.001 0.419 -0.270
-2.766 -0.173 4.193
-2.268 4.157 1.688
ATOMIC_POSITIONS crystal
Sc 0.250 0.250 0.250
Sc 0.750 0.750 0.750
Tm 0.500 0.500 0.500
Ga 0.000 0.000 0.000
! * symmetry: Fm-3m, No. 225
! * total moment: 1.1 μB per cell

Arrangement Q

! TmSc2Ga | Alexandria | PBE | optimized geometry; values from VASP
&SYSTEM
  ibrav = 0, nat = 8, ntyp = 3
/
ATOMIC_SPECIES
Tm 168.93 Tm.upf
Sc 44.96 Sc.upf
Ga 69.72 Ga.upf
CELL_PARAMETERS angstrom
4.373 0.000 0.000
0.000 4.181 -0.833
0.000 -0.097 10.449
ATOMIC_POSITIONS crystal
Tm 0.250 0.304 0.610
Tm 0.750 0.696 0.390
Sc 0.750 0.440 0.881
Sc 0.250 0.560 0.119
Sc 0.250 0.931 0.863
Sc 0.750 0.069 0.137
Ga 0.750 0.840 0.681
Ga 0.250 0.160 0.319
! * symmetry: P2_1/m, No. 11
! * total moment: 0.0 μB per cell

arrangement Q comes first in stability; the runner-up is 195 meV per atom higher.